(a)
The following is a DFT calculation (GGA-PBE) of a relaxed ZnC2O crystal.

Output
Total moment (μB/cell): 0.0
Crystal system: tetragonal

Unit cell a=4.427 b=4.427 c=5.171 alpha=64.66 beta=64.66 gamma=90.00
Atoms (fractional coordinates):
C (0.172, 0.625, 0.250)
Zn (0.750, 0.250, 0.500)
C (0.375, 0.422, 0.750)
O (0.500, 0.500, 0.000)
O (0.250, 0.750, 0.500)
Zn (0.000, 0.000, 0.000)
C (0.578, 0.125, 0.250)
C (0.875, 0.828, 0.750)

***

(b)
The following is a DFT calculation (GGA-PBE) of a relaxed ZnC2O crystal.

Output
Total moment (μB/cell): 0.0
Crystal system: cubic

Unit cell a=3.759 b=3.759 c=3.759 alpha=60.00 beta=60.00 gamma=60.00
Atoms (fractional coordinates):
Zn (0.500, 0.500, 0.500)
O (0.000, 0.000, 0.000)
C (0.250, 0.250, 0.250)
C (0.750, 0.750, 0.750)

***

If you had to bet on the most stable structure above, which would it be? Bet on (a).